(1)
The following is a DFT calculation (GGA-PBE) of a relaxed Tb4PmSm6 crystal.

CIF file:
```
data_Tb4PmSm6
_cell_length_a 6.5809
_cell_length_b 6.5809
_cell_length_c 17.4843
_cell_angle_alpha 90.00
_cell_angle_beta 90.00
_cell_angle_gamma 90.00
_space_group_name_H-M_alt 'I -4 2 m'
_space_group_IT_number 121
_space_group_name_Hall 'I -4 2'
loop_
_atom_site_label
_atom_site_fract_x
_atom_site_fract_y
_atom_site_fract_z
Tb1 0.1867 0.1867 0.1757
Pm1 0.0000 0.0000 0.0000
Sm1 0.0000 0.5000 0.0000
Sm2 0.1790 0.1790 0.3664
```

## Properties
As for the energy of formation: 0.301 eV/atom. The calculation puts the energy above the most stable polymorph in this dataset at 0.000 eV/atom. As for the theoretical density: 7.38 g/cm3. As for the density of states at the Fermi level: 18.270 states/eV/f.u. As for the total magnetization: 0.00 μB per formula unit.

(2)
The following is a DFT calculation (GGA-PBE) of a relaxed SrMn2Se crystal.

CIF file:
```
data_SrMn2Se
_cell_length_a 4.1221
_cell_length_b 4.1221
_cell_length_c 16.7398
_cell_angle_alpha 90.00
_cell_angle_beta 90.00
_cell_angle_gamma 120.00
_space_group_name_H-M_alt 'R -3 m'
_space_group_IT_number 166
_space_group_name_Hall '-R 3 2"'
loop_
_atom_site_label
_atom_site_fract_x
_atom_site_fract_y
_atom_site_fract_z
Sr1 0.0000 0.0000 0.0000
Mn1 0.0000 0.0000 0.1807
Se1 0.0000 0.0000 0.5000
```

## Properties
The calculation puts the formation energy without anion corrections at 0.09 eV per atom. As for the theoretical density: 5.59 g/cm3. As for the density of states at the Fermi level: 5.966 states/eV/f.u. As for the total magnetization: 1.33 μB per formula unit.

(3)
The following is a DFT calculation (GGA-PBE) of a relaxed Te2RhBr crystal.

CIF file:
```
data_Te2RhBr
_cell_length_a 6.9365
_cell_length_b 5.1903
_cell_length_c 13.6379
_cell_angle_alpha 90.00
_cell_angle_beta 120.52
_cell_angle_gamma 90.00
_space_group_name_H-M_alt 'P 1 21/c 1'
_space_group_IT_number 14
loop_
_space_group_symop_operation_xyz
'x,y,z'
'-x,-y,-z'
'-x,y+1/2,-z+1/2'
'x,-y+1/2,z+1/2'
loop_
_atom_site_label
_atom_site_fract_x
_atom_site_fract_y
_atom_site_fract_z
Te1 0.0026 0.2236 0.4309
Te2 0.3594 0.7235 0.9309
Rh1 0.3357 0.0000 0.0858
Br1 0.3194 0.2494 0.7500
```

## Properties
The calculation puts the formation energy without anion corrections at -0.34 eV per atom. As for the theoretical density: 6.88 g/cm3. As for the density of states at the Fermi level: 1.240 states/eV/f.u. As for the total magnetization: 0.00 μB per formula unit.

(4)
The following is a DFT calculation (GGA-PBE) of a relaxed Pr5Nd2Sm6 crystal.

CIF file:
```
data_Pr5Nd2Sm6
_cell_length_a 11.9278
_cell_length_b 21.0062
_cell_length_c 3.6726
_cell_angle_alpha 90.00
_cell_angle_beta 90.00
_cell_angle_gamma 90.00
_space_group_name_H-M_alt 'P b a m'
_space_group_IT_number 55
loop_
_space_group_symop_operation_xyz
'x,y,z'
'-x,-y,-z'
'-x,-y,z'
'x,y,-z'
'x+1/2,-y+1/2,-z'
'-x+1/2,y+1/2,z'
'-x+1/2,y+1/2,-z'
'x+1/2,-y+1/2,z'
loop_
_atom_site_label
_atom_site_fract_x
_atom_site_fract_y
_atom_site_fract_z
Pr1 0.0000 0.0000 0.0000
Pr2 0.0792 0.2809 0.0000
Pr3 0.1990 0.5583 0.0000
Nd1 0.1793 0.7197 0.5000
Sm1 0.0652 0.4258 0.5000
Sm2 0.0733 0.1366 0.5000
Sm3 0.1823 0.8707 0.0000
```

## Properties
As for the energy of formation: 0.088 eV/atom. As for the theoretical density: 6.84 g/cm3. As for the density of states at the Fermi level: 16.272 states/eV/f.u. As for the total magnetization: 0.00 μB per formula unit.

(5)
The following is a DFT calculation (GGA-PBE) of a relaxed Li2ZrCu crystal.

CIF file:
```
data_Li2ZrCu
_cell_length_a 10.8845
_cell_length_b 2.8069
_cell_length_c 4.8449
_cell_angle_alpha 90.00
_cell_angle_beta 109.10
_cell_angle_gamma 90.00
_space_group_name_H-M_alt 'C 1 2/m 1'
_space_group_IT_number 12
loop_
_space_group_symop_operation_xyz
'x,y,z'
'-x,-y,-z'
'-x,y,-z'
'x,-y,z'
'x+1/2,y+1/2,z'
'-x+1/2,-y+1/2,-z'
'-x+1/2,y+1/2,-z'
'x+1/2,-y+1/2,z'
loop_
_atom_site_label
_atom_site_fract_x
_atom_site_fract_y
_atom_site_fract_z
Li1 0.2164 0.0000 0.2172
Zr1 0.0000 0.0000 0.5000
Cu1 0.0000 0.5000 0.0000
```

## Properties
As for the energy of formation: 0.096 eV/atom. The calculation puts the energy above the most stable polymorph in this dataset at 0.036 eV/atom. As for the theoretical density: 4.00 g/cm3. As for the density of states at the Fermi level: 2.033 states/eV/f.u. As for the total magnetization: 0.00 μB per formula unit.

(6)
The following is a DFT calculation (GGA-PBE) of a relaxed Ba6BiTe3Cl2 crystal.

CIF file:
```
data_Ba6BiTe3Cl2
_cell_length_a 8.5032
_cell_length_b 14.7213
_cell_length_c 8.5309
_cell_angle_alpha 90.00
_cell_angle_beta 109.36
_cell_angle_gamma 90.00
_space_group_name_H-M_alt 'C 1 2/m 1'
_space_group_IT_number 12
loop_
_space_group_symop_operation_xyz
'x,y,z'
'-x,-y,-z'
'-x,y,-z'
'x,-y,z'
'x+1/2,y+1/2,z'
'-x+1/2,-y+1/2,-z'
'-x+1/2,y+1/2,-z'
'x+1/2,-y+1/2,z'
loop_
_atom_site_label
_atom_site_fract_x
_atom_site_fract_y
_atom_site_fract_z
Ba1 0.2488 0.0000 0.2507
Ba2 0.2492 0.1659 0.7492
Bi1 0.0000 0.0000 0.5000
Te1 0.0000 0.1671 0.0000
Te2 0.0000 0.5000 0.0000
Cl1 0.0000 0.3339 0.5000
```

## Properties
The calculation puts the formation energy without anion corrections at -1.71 eV per atom. As for the theoretical density: 4.90 g/cm3. As for the density of states at the Fermi level: 3.843 states/eV/f.u. As for the total magnetization: 0.00 μB per formula unit.